# 1
Here is a geometry-optimized LiScAl3 structure from the Alexandria database. Energies are from PBEsol.

```
LiScAl3
1.0
4.4122 0.0000 0.0000
0.0000 4.4122 0.0000
0.0000 0.0000 4.4122
Li Sc Al
1 1 3
Cartesian
0.0000 0.0000 0.0000
2.2061 2.2061 2.2061
0.0000 0.0000 2.2061
0.0000 2.2061 0.0000
2.2061 0.0000 0.0000
```

SG	No. 221
formation energy from the elements	0.18	eV per atom
ρ	2.57	Mg/m³
magnetization	0.00	μB/f.u.

---

# 2
Here is a geometry-optimized Li2ScAl structure from the Alexandria database. Energies are from PBEsol.

```
Li2ScAl
1.0
4.0354 0.0000 0.0000
0.0000 4.0354 0.0000
0.0000 0.0000 4.6811
Li Sc Al
2 1 1
Cartesian
0.0000 2.0177 0.0000
2.0177 0.0000 0.0000
0.0000 0.0000 2.3406
2.0177 2.0177 2.3406
```

SG	No. 123
formation energy from the elements	-0.02	eV per atom
ρ	1.87	Mg/m³
magnetization	0.08	μB/f.u.

---

# 3
Here is a geometry-optimized LiSc2Al structure from the Alexandria database. Energies are from PBEsol.

```
LiSc2Al
1.0
3.0614 0.0000 0.0000
0.0000 4.1162 0.0000
0.0000 0.0000 6.3293
Li Sc Al
1 2 1
Cartesian
0.0000 0.0000 0.0000
1.5307 2.0581 1.6729
1.5307 2.0581 4.6564
0.0000 0.0000 3.1647
```

SG	No. 47
formation energy from the elements	-0.12	eV per atom
ρ	2.58	Mg/m³
magnetization	0.00	μB/f.u.

---

# 4
Here is a geometry-optimized LiSc2Al structure from the Alexandria database. Energies are from PBEsol.

```
LiSc2Al
1.0
3.2924 0.0000 0.0000
0.0000 3.2924 0.0000
0.0000 0.0000 7.2539
Li Sc Al
1 2 1
Cartesian
0.0000 0.0000 0.0000
1.6462 1.6462 1.8952
1.6462 1.6462 5.3587
0.0000 0.0000 3.6269
```

SG	No. 123
formation energy from the elements	-0.17	eV per atom
ρ	2.62	Mg/m³
magnetization	0.00	μB/f.u.

---

# 5
Here is a geometry-optimized LiAlSe structure from the Alexandria database. Energies are from PBEsol.

```
LiAlSe
1.0
0.0000 3.2194 3.2194
3.2194 0.0000 3.2194
3.2194 3.2194 0.0000
Li Al Se
1 1 1
Cartesian
0.0000 0.0000 0.0000
1.6097 1.6097 1.6097
3.2194 3.2194 3.2194
```

SG	No. 216
ρ	2.81	Mg/m³
magnetization	0.00	μB/f.u.
energy relative to the elements, uncorrected	-8.7	kJ per mole of atoms

---

# 6
Here is a geometry-optimized LiAlSi2 structure from the Alexandria database. Energies are from PBEsol.

```
LiAlSi2
1.0
2.6783 0.0000 0.0000
0.0000 4.1621 0.0000
0.0000 0.0000 5.2512
Li Al Si
1 1 2
Cartesian
0.0000 0.0000 0.0000
1.3392 2.0811 3.8279
0.0000 0.0000 2.5996
1.3392 2.0811 1.2059
```

SG	No. 25
ρ	2.56	Mg/m³
magnetization	0.00	μB/f.u.
energy relative to the elements, uncorrected	7.2	kJ per mole of atoms